No. 1
NbPt4: relaxed, PBE-GGA.

Calculated values
- density of states at the Fermi level (states/eV/cell) = 11.28
- polymorph energy (0 for the lowest one) (eV per atom) = 0.000
- DFT formation energy (meV per atom) = -495

a b c (Å): 4.061 5.580 14.367
angles (deg): 90.00 90.00 90.00
Space group Imma (No. 74)
Inequivalent atoms, fractional coordinates:
Nb 0.000 0.250 0.110 (multiplicity 4)
Pt 0.000 0.000 0.500 (multiplicity 4)
Pt 0.000 0.004 0.688 (multiplicity 8)
Pt 0.000 0.250 0.910 (multiplicity 4)


No. 2
NbPt: relaxed, PBE-GGA.

Calculated values
- density of states at the Fermi level (states/eV/cell) = 10.46
- DFT formation energy (meV per atom) = -354

a b c (Å): 2.844 12.599 5.862
angles (deg): 90.00 90.00 90.00
Space group Imm2 (No. 44)
Inequivalent atoms, fractional coordinates:
Nb 0.000 0.000 0.000 (multiplicity 2)
Nb 0.000 0.342 0.211 (multiplicity 4)
Pt 0.000 0.000 0.489 (multiplicity 2)
Pt 0.000 0.342 0.735 (multiplicity 4)


No. 3
NbPt: relaxed, PBE-GGA.

Calculated values
- density of states at the Fermi level (states/eV/cell) = 13.28
- DFT formation energy (meV per atom) = 637

a b c (Å): 8.005 8.005 8.005
angles (deg): 90.00 90.00 90.00
Space group I-43m (No. 217)
Inequivalent atoms, fractional coordinates:
Nb 0.142 0.142 0.142 (multiplicity 8)
Pt 0.173 0.173 0.827 (multiplicity 8)


No. 4
NbPt: relaxed, PBE-GGA.

Calculated values
- density of states at the Fermi level (states/eV/cell) = 1.71
- DFT formation energy (meV per atom) = -404

a b c (Å): 2.8842 2.8842 4.6314
angles (deg): 90.00 90.00 120.00
Space group P-6m2 (No. 187)
Inequivalent atoms, fractional coordinates:
Nb 0.0000 0.0000 0.0000 (multiplicity 1)
Pt 0.6667 0.3333 0.5000 (multiplicity 1)


No. 5
Nb8Pt: relaxed, PBE-GGA.

Calculated values
- density of states at the Fermi level (states/eV/cell) = 21.42
- DFT formation energy (meV per atom) = 2

a b c (Å): 8.320 8.320 4.739
angles (deg): 90.00 90.00 90.00
Space group I4/mmm (No. 139)
Inequivalent atoms, fractional coordinates:
Nb 0.000 0.330 0.000 (multiplicity 8)
Nb 0.165 0.165 0.500 (multiplicity 8)
Pt 0.000 0.000 0.000 (multiplicity 2)


No. 6
NbPt3: relaxed, PBE-GGA.

Calculated values
- density of states at the Fermi level (states/eV/cell) = 5.64
- DFT formation energy (meV per atom) = -677

a b c (Å): 4.623 5.609 4.937
angles (deg): 90.00 90.00 90.00
Space group Pmmn (No. 59, origin choice 2)
Inequivalent atoms, fractional coordinates:
Nb 0.250 0.250 0.159 (multiplicity 2)
Pt 0.250 0.501 0.665 (multiplicity 4)
Pt 0.250 0.750 0.159 (multiplicity 2)


No. 7
NbPt: relaxed, PBE-GGA.

Calculated values
- density of states at the Fermi level (states/eV/cell) = 16.52
- DFT formation energy (meV per atom) = -341

a b c (Å): 8.283 8.283 4.227
angles (deg): 90.00 90.00 90.00
Space group I4/mmm (No. 139)
Inequivalent atoms, fractional coordinates:
Nb 0.000 0.309 0.000 (multiplicity 8)
Pt 0.170 0.170 0.500 (multiplicity 8)


No. 8
NbPt2: relaxed, PBE-GGA.

Calculated values
- density of states at the Fermi level (states/eV/cell) = 2.02
- DFT formation energy (meV per atom) = -400

a b c (Å): 2.8614 2.8614 6.9388
angles (deg): 90.00 90.00 120.00
Space group P-3m1 (No. 164)
Inequivalent atoms, fractional coordinates:
Nb 0.0000 0.0000 0.0000 (multiplicity 1)
Pt 0.3333 0.6667 0.6742 (multiplicity 2)


No. 9
NbPt: relaxed, PBE-GGA.

Calculated values
- density of states at the Fermi level (states/eV/cell) = 5.11
- DFT formation energy (meV per atom) = 212

a b c (Å): 4.5000 4.5000 5.2325
angles (deg): 90.00 90.00 120.00
Space group P6_3/mmc (No. 194)
Inequivalent atoms, fractional coordinates:
Nb 0.3333 0.6667 0.2500 (multiplicity 2)
Pt 0.3333 0.6667 0.7500 (multiplicity 2)


No. 10
NbPt: relaxed, PBE-GGA.

Calculated values
- density of states at the Fermi level (states/eV/cell) = 3.01
- DFT formation energy (meV per atom) = -525

a b c (Å): 2.853 4.993 5.406
angles (deg): 115.48 104.29 90.49
Space group P-1 (No. 2)
Inequivalent atoms, fractional coordinates:
Nb 0.106 0.288 0.240 (multiplicity 2)
Pt 0.384 0.203 0.751 (multiplicity 2)


No. 11
NbPt2: relaxed, PBE-GGA.

Calculated values
- density of states at the Fermi level (states/eV/cell) = 3.62
- DFT formation energy (meV per atom) = -719

a b c (Å): 2.830 4.002 8.569
angles (deg): 90.00 90.00 90.00
Space group Immm (No. 71)
Inequivalent atoms, fractional coordinates:
Nb 0.000 0.000 0.000 (multiplicity 2)
Pt 0.000 0.000 0.336 (multiplicity 4)


No. 12
NbPt3: relaxed, PBE-GGA.

Calculated values
- density of states at the Fermi level (states/eV/cell) = 7.88
- DFT formation energy (meV per atom) = -424

a b c (Å): 2.871 9.257 4.861
angles (deg): 90.00 90.00 90.00
Space group Imm2 (No. 44)
Inequivalent atoms, fractional coordinates:
Nb 0.000 0.000 0.000 (multiplicity 2)
Pt 0.000 0.255 0.652 (multiplicity 4)
Pt 0.000 0.500 0.007 (multiplicity 2)


Question: What is the density of states at the Fermi level in the first record?
Answer: 11.28 states/eV/cell